[1]
# PBE DyNp2, relaxed
data_DyNp2
_chemical_formula_sum 'Dy2 Np4'
_cell_length_a 5.805
_cell_length_b 5.805
_cell_length_c 5.805
_cell_angle_alpha 60.00
_cell_angle_beta 60.00
_cell_angle_gamma 60.00
_space_group_name_H-M_alt 'P 1'
_space_group_IT_number 1
loop_
_space_group_symop_operation_xyz
'x,y,z'
loop_
_atom_site_label
_atom_site_type_symbol
_atom_site_fract_x
_atom_site_fract_y
_atom_site_fract_z
_atom_site_occupancy
Np1 Np 0.625 0.125 0.625 1
Np2 Np 0.625 0.625 0.625 1
Np3 Np 0.125 0.625 0.625 1
Np4 Np 0.625 0.625 0.125 1
Dy1 Dy 0.250 0.250 0.250 1
Dy2 Dy 0.000 0.000 0.000 1
# **DFT total energy**: -9.73 eV per atom
# **Crystal system**: cubic
# **Calculated formation energy**: 0.428 eV per atom

---

[2]
# PBE MgFeRu, relaxed
data_MgFeRu
_chemical_formula_sum 'Mg1 Fe1 Ru1'
_cell_length_a 4.024
_cell_length_b 4.024
_cell_length_c 4.024
_cell_angle_alpha 60.00
_cell_angle_beta 60.00
_cell_angle_gamma 60.00
_space_group_name_H-M_alt 'P 1'
_space_group_IT_number 1
loop_
_space_group_symop_operation_xyz
'x,y,z'
loop_
_atom_site_label
_atom_site_type_symbol
_atom_site_fract_x
_atom_site_fract_y
_atom_site_fract_z
_atom_site_occupancy
Ru1 Ru 0.250 0.250 0.250 1
Fe1 Fe 0.000 0.000 0.000 1
Mg1 Mg 0.750 0.750 0.750 1
# **DFT total energy**: -5.95 eV per atom
# **E above lowest polymorph**: 435 meV/atom
# **Crystal system**: cubic
# **Calculated formation energy**: 0.491 eV per atom

---

[3]
# PBE Ni3OsBr, relaxed
data_Ni3OsBr
_chemical_formula_sum 'Ni3 Os1 Br1'
_cell_length_a 4.280
_cell_length_b 4.280
_cell_length_c 4.280
_cell_angle_alpha 90.00
_cell_angle_beta 90.00
_cell_angle_gamma 90.00
_space_group_name_H-M_alt 'P 1'
_space_group_IT_number 1
loop_
_space_group_symop_operation_xyz
'x,y,z'
loop_
_atom_site_label
_atom_site_type_symbol
_atom_site_fract_x
_atom_site_fract_y
_atom_site_fract_z
_atom_site_occupancy
Ni1 Ni 0.000 0.000 0.500 1
Ni2 Ni 0.500 0.000 0.000 1
Ni3 Ni 0.000 0.500 0.000 1
Br1 Br 0.000 0.000 0.000 1
Os1 Os 0.500 0.500 0.500 1
# **DFT total energy**: -4.58 eV per atom
# **Formation energy without anion corrections**: 1.47 eV per atom
# **E above lowest polymorph**: 126 meV/atom
# **Crystal system**: cubic

---

[4]
# PBE Tb3PrS6, relaxed
data_Tb3PrS6
_chemical_formula_sum 'Tb6 Pr2 S12'
_cell_length_a 4.021
_cell_length_b 11.138
_cell_length_c 11.424
_cell_angle_alpha 108.61
_cell_angle_beta 90.00
_cell_angle_gamma 90.00
_space_group_name_H-M_alt 'P 1'
_space_group_IT_number 1
loop_
_space_group_symop_operation_xyz
'x,y,z'
loop_
_atom_site_label
_atom_site_type_symbol
_atom_site_fract_x
_atom_site_fract_y
_atom_site_fract_z
_atom_site_occupancy
Tb1 Tb 0.250 0.839 0.914 1
Tb2 Tb 0.250 0.560 0.168 1
Tb3 Tb 0.750 0.680 0.502 1
Tb4 Tb 0.250 0.320 0.498 1
Tb5 Tb 0.750 0.440 0.832 1
Tb6 Tb 0.750 0.161 0.086 1
S1 S 0.750 0.737 0.273 1
S2 S 0.250 0.263 0.727 1
S3 S 0.750 0.396 0.060 1
S4 S 0.250 0.522 0.389 1
S5 S 0.750 0.805 0.751 1
S6 S 0.750 0.917 0.095 1
S7 S 0.750 0.117 0.463 1
S8 S 0.250 0.083 0.905 1
S9 S 0.750 0.478 0.611 1
S10 S 0.250 0.604 0.940 1
S11 S 0.250 0.195 0.249 1
S12 S 0.250 0.883 0.537 1
Pr1 Pr 0.750 0.048 0.694 1
Pr2 Pr 0.250 0.952 0.306 1
# **DFT total energy**: -6.43 eV per atom
# **Formation energy without anion corrections**: -2.09 eV per atom
# **Crystal system**: monoclinic

---

[5]
# PBE Zr7InCo2, relaxed
data_Zr7InCo2
_chemical_formula_sum 'Zr7 In1 Co2'
_cell_length_a 4.694
_cell_length_b 7.501
_cell_length_c 7.501
_cell_angle_alpha 115.91
_cell_angle_beta 90.00
_cell_angle_gamma 90.00
_space_group_name_H-M_alt 'P 1'
_space_group_IT_number 1
loop_
_space_group_symop_operation_xyz
'x,y,z'
loop_
_atom_site_label
_atom_site_type_symbol
_atom_site_fract_x
_atom_site_fract_y
_atom_site_fract_z
_atom_site_occupancy
Zr1 Zr 0.500 0.942 0.684 1
Zr2 Zr 0.000 0.281 0.719 1
Zr3 Zr 0.000 0.719 0.281 1
Zr4 Zr 0.500 0.684 0.942 1
Zr5 Zr 0.500 0.316 0.058 1
Zr6 Zr 0.500 0.058 0.316 1
Zr7 Zr 0.500 0.500 0.500 1
Co1 Co 0.500 0.700 0.300 1
Co2 Co 0.500 0.300 0.700 1
In1 In 0.000 0.000 0.000 1
# **DFT total energy**: -7.49 eV per atom
# **Crystal system**: orthorhombic
# **Calculated formation energy**: 0.189 eV per atom

---

[6]
# PBE TbTmTeC, relaxed
data_TbTmTeC
_chemical_formula_sum 'Tb1 Tm1 Te1 C1'
_cell_length_a 3.790
_cell_length_b 3.791
_cell_length_c 7.402
_cell_angle_alpha 90.01
_cell_angle_beta 104.83
_cell_angle_gamma 120.00
_space_group_name_H-M_alt 'P 1'
_space_group_IT_number 1
loop_
_space_group_symop_operation_xyz
'x,y,z'
loop_
_atom_site_label
_atom_site_type_symbol
_atom_site_fract_x
_atom_site_fract_y
_atom_site_fract_z
_atom_site_occupancy
Te1 Te 0.965 0.381 0.361 1
C1 C 0.307 0.551 0.874 1
Tm1 Tm 0.093 0.944 0.052 1
Tb1 Tb 0.513 0.154 0.682 1
# **DFT total energy**: -6.20 eV per atom
# **Formation energy without anion corrections**: -0.84 eV per atom
# **Crystal system**: trigonal

---

[7]
# PBE ScTc2Br, relaxed
data_ScTc2Br
_chemical_formula_sum 'Sc1 Tc2 Br1'
_cell_length_a 3.182
_cell_length_b 3.182
_cell_length_c 6.598
_cell_angle_alpha 90.00
_cell_angle_beta 90.00
_cell_angle_gamma 90.00
_space_group_name_H-M_alt 'P 1'
_space_group_IT_number 1
loop_
_space_group_symop_operation_xyz
'x,y,z'
loop_
_atom_site_label
_atom_site_type_symbol
_atom_site_fract_x
_atom_site_fract_y
_atom_site_fract_z
_atom_site_occupancy
Sc1 Sc 0.500 0.500 0.750 1
Tc1 Tc 0.000 0.000 0.491 1
Tc2 Tc 0.000 0.000 0.009 1
Br1 Br 0.500 0.500 0.250 1
# **DFT total energy**: -6.68 eV per atom
# **Formation energy without anion corrections**: 0.51 eV per atom
# **E above lowest polymorph**: 677 meV/atom
# **Crystal system**: tetragonal

---

[8]
# PBE Sb2TeCl, relaxed
data_Sb2TeCl
_chemical_formula_sum 'Sb2 Te1 Cl1'
_cell_length_a 7.524
_cell_length_b 7.524
_cell_length_c 4.992
_cell_angle_alpha 76.95
_cell_angle_beta 76.95
_cell_angle_gamma 30.55
_space_group_name_H-M_alt 'P 1'
_space_group_IT_number 1
loop_
_space_group_symop_operation_xyz
'x,y,z'
loop_
_atom_site_label
_atom_site_type_symbol
_atom_site_fract_x
_atom_site_fract_y
_atom_site_fract_z
_atom_site_occupancy
Sb1 Sb 0.319 0.319 0.294 1
Sb2 Sb 0.976 0.976 0.016 1
Te1 Te 0.479 0.479 0.519 1
Cl1 Cl 0.726 0.726 0.670 1
# **DFT total energy**: -3.47 eV per atom
# **Formation energy without anion corrections**: -0.16 eV per atom
# **E above lowest polymorph**: 0 meV/atom
# **Crystal system**: monoclinic

---

[9]
# PBE Tb5Tm4Mg2, relaxed
data_Tb5Tm4Mg2
_chemical_formula_sum 'Tb5 Tm4 Mg2'
_cell_length_a 3.440
_cell_length_b 11.295
_cell_length_c 14.070
_cell_angle_alpha 140.84
_cell_angle_beta 97.02
_cell_angle_gamma 90.00
_space_group_name_H-M_alt 'P 1'
_space_group_IT_number 1
loop_
_space_group_symop_operation_xyz
'x,y,z'
loop_
_atom_site_label
_atom_site_type_symbol
_atom_site_fract_x
_atom_site_fract_y
_atom_site_fract_z
_atom_site_occupancy
Tb1 Tb 0.500 0.000 0.000 1
Tb2 Tb 0.212 0.044 0.424 1
Tb3 Tb 0.826 0.725 0.652 1
Tb4 Tb 0.174 0.275 0.348 1
Tb5 Tb 0.788 0.956 0.576 1
Tm1 Tm 0.977 0.230 0.954 1
Tm2 Tm 0.023 0.770 0.046 1
Tm3 Tm 0.359 0.529 0.719 1
Tm4 Tm 0.641 0.471 0.281 1
Mg1 Mg 0.412 0.357 0.824 1
Mg2 Mg 0.588 0.643 0.176 1
# **DFT total energy**: -3.89 eV per atom
# **E above lowest polymorph**: 0 meV/atom
# **Crystal system**: monoclinic
# **Calculated formation energy**: 0.134 eV per atom

---

[10]
# PBE Tl4Te2I, relaxed
data_Tl4Te2I
_chemical_formula_sum 'Tl8 Te4 I2'
_cell_length_a 9.202
_cell_length_b 9.718
_cell_length_c 9.718
_cell_angle_alpha 58.84
_cell_angle_beta 61.74
_cell_angle_gamma 61.74
_space_group_name_H-M_alt 'P 1'
_space_group_IT_number 1
loop_
_space_group_symop_operation_xyz
'x,y,z'
loop_
_atom_site_label
_atom_site_type_symbol
_atom_site_fract_x
_atom_site_fract_y
_atom_site_fract_z
_atom_site_occupancy
Te1 Te 0.500 0.000 0.500 1
Te2 Te 0.000 0.000 0.000 1
Te3 Te 0.000 0.000 0.500 1
Te4 Te 0.000 0.500 0.500 1
I1 I 0.500 0.500 0.000 1
I2 I 0.000 0.500 0.000 1
Tl1 Tl 0.241 0.756 0.256 1
Tl2 Tl 0.746 0.756 0.256 1
Tl3 Tl 0.779 0.742 0.699 1
Tl4 Tl 0.221 0.258 0.301 1
Tl5 Tl 0.254 0.244 0.744 1
Tl6 Tl 0.759 0.244 0.744 1
Tl7 Tl 0.779 0.199 0.242 1
Tl8 Tl 0.221 0.801 0.758 1
# **DFT total energy**: -2.78 eV per atom
# **Formation energy without anion corrections**: -0.31 eV per atom
# **Crystal system**: orthorhombic

---

[11]
# PBE B2Ir2Pd, relaxed
data_B2Ir2Pd
_chemical_formula_sum 'B2 Ir2 Pd1'
_cell_length_a 3.771
_cell_length_b 3.771
_cell_length_c 5.182
_cell_angle_alpha 68.66
_cell_angle_beta 68.66
_cell_angle_gamma 90.00
_space_group_name_H-M_alt 'P 1'
_space_group_IT_number 1
loop_
_space_group_symop_operation_xyz
'x,y,z'
loop_
_atom_site_label
_atom_site_type_symbol
_atom_site_fract_x
_atom_site_fract_y
_atom_site_fract_z
_atom_site_occupancy
Ir1 Ir 0.358 0.358 0.284 1
Ir2 Ir 0.642 0.642 0.716 1
B1 B 0.250 0.750 0.500 1
B2 B 0.750 0.250 0.500 1
Pd1 Pd 0.000 0.000 0.000 1
# **DFT total energy**: -7.13 eV per atom
# **E above lowest polymorph**: 177 meV/atom
# **Crystal system**: tetragonal
# **Calculated formation energy**: 0.126 eV per atom

---

[12]
# PBE Tl3VRu, relaxed
data_Tl3VRu
_chemical_formula_sum 'Tl3 V1 Ru1'
_cell_length_a 5.241
_cell_length_b 5.241
_cell_length_c 5.241
_cell_angle_alpha 90.00
_cell_angle_beta 90.00
_cell_angle_gamma 90.00
_space_group_name_H-M_alt 'P 1'
_space_group_IT_number 1
loop_
_space_group_symop_operation_xyz
'x,y,z'
loop_
_atom_site_label
_atom_site_type_symbol
_atom_site_fract_x
_atom_site_fract_y
_atom_site_fract_z
_atom_site_occupancy
Ru1 Ru 0.000 0.000 0.000 1
V1 V 0.500 0.500 0.500 1
Tl1 Tl 0.000 0.500 0.000 1
Tl2 Tl 0.000 0.000 0.500 1
Tl3 Tl 0.500 0.000 0.000 1
# **DFT total energy**: -4.21 eV per atom
# **E above lowest polymorph**: 0 meV/atom
# **Crystal system**: cubic
# **Calculated formation energy**: 0.889 eV per atom

---

Please write out number 12 again, unchanged.
# PBE Tl3VRu, relaxed
data_Tl3VRu
_chemical_formula_sum 'Tl3 V1 Ru1'
_cell_length_a 5.241
_cell_length_b 5.241
_cell_length_c 5.241
_cell_angle_alpha 90.00
_cell_angle_beta 90.00
_cell_angle_gamma 90.00
_space_group_name_H-M_alt 'P 1'
_space_group_IT_number 1
loop_
_space_group_symop_operation_xyz
'x,y,z'
loop_
_atom_site_label
_atom_site_type_symbol
_atom_site_fract_x
_atom_site_fract_y
_atom_site_fract_z
_atom_site_occupancy
Ru1 Ru 0.000 0.000 0.000 1
V1 V 0.500 0.500 0.500 1
Tl1 Tl 0.000 0.500 0.000 1
Tl2 Tl 0.000 0.000 0.500 1
Tl3 Tl 0.500 0.000 0.000 1
# **DFT total energy**: -4.21 eV per atom
# **E above lowest polymorph**: 0 meV/atom
# **Crystal system**: cubic
# **Calculated formation energy**: 0.889 eV per atom

---

Among the records above, which one has the lowest DFT total energy?
DyNp2

---

Among the records above, which one has the highest DFT total energy?
Tl4Te2I

---

Which value of DFT total energy does entry 2 give?
-5.95 eV per atom